Record 1
VASP calculation (PBE) on a relaxed ReNiSeN2 crystal.

It has space group P4/mmm (No. 123), with a = 3.663 Å, b = 3.663 Å, c = 4.806 Å, α = 90.00°, β = 90.00° and γ = 90.00°. The distinct sites, in fractional coordinates, are Re at (0.000, 0.000, 0.000), Ni at (0.500, 0.500, 0.500), Se at (0.500, 0.500, 0.000) and N at (0.000, 0.500, 0.500).

For the energy above the most stable polymorph in this dataset, the calculation gives 1.120 eV per atom. Its energy relative to the elements, uncorrected is 1.7534 eV per atom.


Record 2
VASP calculation (PBE) on a relaxed ReNiSe2N crystal.

It has space group P4/mmm (No. 123), with a = 4.860 Å, b = 4.860 Å, c = 3.325 Å, α = 90.00°, β = 90.00° and γ = 90.00°. The distinct sites, in fractional coordinates, are Re at (0.000, 0.000, 0.000), Ni at (0.500, 0.500, 0.500), Se at (0.000, 0.500, 0.500) and N at (0.500, 0.500, 0.000).

For the energy above the most stable polymorph in this dataset, the calculation gives 0.412 eV per atom. Its energy relative to the elements, uncorrected is 1.0694 eV per atom.


Record 3
VASP calculation (PBE) on a relaxed ReNiSeN2 crystal.

It has space group P4/mmm (No. 123), with a = 3.777 Å, b = 3.777 Å, c = 5.453 Å, α = 90.00°, β = 90.00° and γ = 90.00°. The distinct sites, in fractional coordinates, are Re at (0.000, 0.000, 0.000), Ni at (0.500, 0.500, 0.500), Se at (0.000, 0.000, 0.500) and N at (0.000, 0.500, 0.000).

For the energy above the most stable polymorph in this dataset, the calculation gives 0.000 eV per atom. Its energy relative to the elements, uncorrected is 0.6333 eV per atom.


Record 4
VASP calculation (PBE) on a relaxed ReNiTeN2 crystal.

It has space group P4/mmm (No. 123), with a = 3.798 Å, b = 3.798 Å, c = 5.814 Å, α = 90.00°, β = 90.00° and γ = 90.00°. The distinct sites, in fractional coordinates, are Re at (0.000, 0.000, 0.000), Ni at (0.500, 0.500, 0.500), Te at (0.000, 0.000, 0.500) and N at (0.000, 0.500, 0.000).

For the energy above the most stable polymorph in this dataset, the calculation gives 0.000 eV per atom. Its energy relative to the elements, uncorrected is 0.5960 eV per atom.


Record 5
VASP calculation (PBE) on a relaxed ReNiTeN2 crystal.

It has space group P4/mmm (No. 123), with a = 3.752 Å, b = 3.752 Å, c = 5.184 Å, α = 90.00°, β = 90.00° and γ = 90.00°. The distinct sites, in fractional coordinates, are Re at (0.000, 0.000, 0.000), Ni at (0.500, 0.500, 0.500), Te at (0.500, 0.500, 0.000) and N at (0.000, 0.500, 0.500).

For the energy above the most stable polymorph in this dataset, the calculation gives 1.301 eV per atom. Its energy relative to the elements, uncorrected is 1.8966 eV per atom.


Record 6
VASP calculation (PBE) on a relaxed VRe2NiN crystal.

It has space group P4/mmm (No. 123), with a = 4.456 Å, b = 4.456 Å, c = 4.200 Å, α = 90.00°, β = 90.00° and γ = 90.00°. The distinct sites, in fractional coordinates, are V at (0.000, 0.000, 0.000), Re at (0.000, 0.500, 0.000), Ni at (0.000, 0.000, 0.500) and N at (0.500, 0.500, 0.500).

Its energy relative to the elements, uncorrected is 2.6884 eV per atom.


Record 7
VASP calculation (PBE) on a relaxed NiRhN crystal.

It has space group R3m (No. 160, hexagonal axes), with a = 2.8362 Å, b = 2.8362 Å, c = 27.6918 Å, α = 90.00°, β = 90.00° and γ = 120.00°. The distinct sites, in fractional coordinates, are Ni at (0.0000, 0.0000, 0.0000), Ni at (0.0000, 0.0000, 0.2604), Rh at (0.0000, 0.0000, 0.1706), Rh at (0.0000, 0.0000, 0.4190), N at (0.0000, 0.0000, 0.7054) and N at (0.0000, 0.0000, 0.8863).

Its energy relative to the elements, uncorrected is 0.4137 eV per atom.


Record 8
VASP calculation (PBE) on a relaxed NiRhN2 crystal.

It has space group R-3m (No. 166, hexagonal axes), with a = 2.7872 Å, b = 2.7872 Å, c = 18.0634 Å, α = 90.00°, β = 90.00° and γ = 120.00°. The distinct sites, in fractional coordinates, are Ni at (0.0000, 0.0000, 0.0000), Rh at (0.0000, 0.0000, 0.5000) and N at (0.0000, 0.0000, 0.3926).

For the energy above the most stable polymorph in this dataset, the calculation gives 0.108 eV per atom. Its energy relative to the elements, uncorrected is 0.5580 eV per atom.